1.
Entry from Alexandria via LeMat-Bulk: an optimized crystal structure of CsSb2SeI (PBE).

Cell: 5.407 5.407 8.939 Å, 90.00 90.00 90.00°
Atoms (fractional coordinates):
Sb 0.500 0.000 0.000
Sb 0.000 0.500 0.000
I 0.000 0.000 0.500
Se 0.000 0.000 0.000
Cs 0.500 0.500 0.500

* space-group type: P4/mmm (123)
* uncorrected formation energy: -0.072 eV/atom
* crystal system: tetragonal



2.
Entry from Alexandria via LeMat-Bulk: an optimized crystal structure of BTe2SeI (PBE).

Cell: 5.035 5.035 4.793 Å, 90.00 90.00 90.00°
Atoms (fractional coordinates):
Te 0.500 0.000 0.000
Te 0.000 0.500 0.000
Se 0.500 0.500 0.500
I 0.000 0.000 0.500
B 0.000 0.000 0.000

* space-group type: P4/mmm (123)
* uncorrected formation energy: 0.858 eV/atom
* crystal system: tetragonal



3.
Entry from Alexandria via LeMat-Bulk: an optimized crystal structure of PmErPb2O8 (PBE).

Cell: 5.615 5.615 6.649 Å, 114.98 114.98 90.00°
Last column: magnetic moment on the atom in μB.
Atoms (fractional coordinates):
Pb 0.500 0.500 0.000  -0.02
Pb 0.250 0.750 0.500  -0.02
O 0.401 0.341 0.202  0.23
O 0.367 0.910 0.308  0.22
O 0.090 0.059 0.692  0.22
O 0.941 0.398 0.308  0.22
O 0.801 0.861 0.202  0.23
O 0.139 0.599 0.798  0.23
O 0.659 0.199 0.798  0.23
O 0.602 0.633 0.692  0.22
Pm 0.000 0.000 0.000  -0.01
Er 0.750 0.250 0.500  -0.02

* space-group type: I-4 (82)
* uncorrected formation energy: -1.750 eV/atom
* crystal system: tetragonal



4.
Entry from Alexandria via LeMat-Bulk: an optimized crystal structure of Ba2TaP (PBE).

Cell: 3.558 3.558 9.863 Å, 90.00 90.00 90.00°
Atoms (fractional coordinates):
Ba 0.000 0.000 0.918
Ba 0.500 0.500 0.335
Ta 0.500 0.500 0.658
P 0.000 0.000 0.589

* energy of formation: -0.051 eV/atom
* space-group type: P4mm (99)
* crystal system: tetragonal



5.
Entry from Alexandria via LeMat-Bulk: an optimized crystal structure of Y4AsPb2Se (PBE).

Cell: 4.073 8.026 7.033 Å, 72.91 90.00 90.00°
Atoms (fractional coordinates):
Y 0.000 0.719 0.756
Y 0.500 0.716 0.265
Y 0.500 0.284 0.735
Y 0.000 0.281 0.244
Pb 0.000 0.000 0.000
Pb 0.500 0.000 0.500
Se 0.500 0.500 0.000
As 0.000 0.500 0.500

* space-group type: P2/m (10)
* uncorrected formation energy: -1.082 eV/atom
* crystal system: monoclinic



6.
Entry from Alexandria via LeMat-Bulk: an optimized crystal structure of Li7Mg2Sn2 (PBE).

Cell: 3.546 8.501 8.501 Å, 61.52 77.96 77.96°
Atoms (fractional coordinates):
Sn 0.676 0.944 0.703
Sn 0.324 0.297 0.056
Li 0.669 0.455 0.207
Li 0.832 0.036 0.300
Li 0.331 0.793 0.545
Li 0.170 0.206 0.454
Li 0.830 0.546 0.794
Li 0.500 0.942 0.058
Li 0.168 0.700 0.964
Mg 0.500 0.314 0.686
Mg 0.000 0.619 0.381

* energy of formation: -0.211 eV/atom
* space-group type: Imm2 (44)
* crystal system: orthorhombic



Going through the records in order, we get VASP energy values of -14.49 -13.70 -77.40 -21.31 -50.06 -26.91 eV for the cell shown.